Compound: Nd2CuRu
Source: the Alexandria database
Functional: PBE
Structure: optimized geometry

Cell lengths 3.517, 3.517, 7.328 Å; angles 90.00, 90.00, 90.00 degrees
Fractional coordinates of all 4 atoms:
Ru (0.500, 0.500, 0.000)
Nd (0.000, 0.000, 0.762)
Nd (0.000, 0.000, 0.238)
Cu (0.500, 0.500, 0.500)

Energy = -5.8895 eV/atom
Magnetic moment = 0.00 Bohr magnetons per cell